Entry 1:
An optimized crystal structure of Co4ReTe, computed with PBEsol.

Summary:
Space group: F-43m (216)

```
data_Co4ReTe
_symmetry_space_group_name_H-M 'P 1'
_symmetry_Int_Tables_number 1
_cell_length_a 4.700
_cell_length_b 4.700
_cell_length_c 4.700
_cell_angle_alpha 60.00
_cell_angle_beta 60.00
_cell_angle_gamma 60.00
loop_
_symmetry_equiv_pos_as_xyz
'x,y,z'
loop_
_atom_site_label
_atom_site_type_symbol
_atom_site_fract_x
_atom_site_fract_y
_atom_site_fract_z
_atom_site_occupancy
Co1 Co 0.376 0.376 0.376 1
Co2 Co 0.376 0.376 0.872 1
Co3 Co 0.872 0.376 0.376 1
Co4 Co 0.376 0.872 0.376 1
Re1 Re 0.750 0.750 0.750 1
Te1 Te 0.000 0.000 0.000 1
```


Entry 2:
An optimized crystal structure of TiCo3Re, computed with PBEsol.

Summary:
Space group: Pm-3m (221)

```
data_TiCo3Re
_symmetry_space_group_name_H-M 'P 1'
_symmetry_Int_Tables_number 1
_cell_length_a 4.083
_cell_length_b 4.083
_cell_length_c 4.083
_cell_angle_alpha 90.00
_cell_angle_beta 90.00
_cell_angle_gamma 90.00
loop_
_symmetry_equiv_pos_as_xyz
'x,y,z'
loop_
_atom_site_label
_atom_site_type_symbol
_atom_site_fract_x
_atom_site_fract_y
_atom_site_fract_z
_atom_site_occupancy
Re1 Re 0.500 0.500 0.500 1
Co1 Co 0.000 0.500 0.000 1
Co2 Co 0.000 0.000 0.500 1
Co3 Co 0.500 0.000 0.000 1
Ti1 Ti 0.000 0.000 0.000 1
```


Entry 3:
An optimized crystal structure of TlCoRe2, computed with PBEsol.

Summary:
Offset from the most stable computed form (eV/atom): 0.347
Space group: P4/mmm (123)

```
data_TlCoRe2
_symmetry_space_group_name_H-M 'P 1'
_symmetry_Int_Tables_number 1
_cell_length_a 3.695
_cell_length_b 3.695
_cell_length_c 4.397
_cell_angle_alpha 90.00
_cell_angle_beta 90.00
_cell_angle_gamma 90.00
loop_
_symmetry_equiv_pos_as_xyz
'x,y,z'
loop_
_atom_site_label
_atom_site_type_symbol
_atom_site_fract_x
_atom_site_fract_y
_atom_site_fract_z
_atom_site_occupancy
Re1 Re 0.000 0.500 0.000 1
Re2 Re 0.500 0.000 0.000 1
Tl1 Tl 0.500 0.500 0.500 1
Co1 Co 0.000 0.000 0.500 1
```


Entry 4:
An optimized crystal structure of Tl2CoRe, computed with PBEsol.

Summary:
Offset from the most stable computed form (eV/atom): 0.000
Space group: Cmmm (65)

```
data_Tl2CoRe
_symmetry_space_group_name_H-M 'P 1'
_symmetry_Int_Tables_number 1
_cell_length_a 2.971
_cell_length_b 2.971
_cell_length_c 8.954
_cell_angle_alpha 90.00
_cell_angle_beta 90.00
_cell_angle_gamma 118.06
loop_
_symmetry_equiv_pos_as_xyz
'x,y,z'
loop_
_atom_site_label
_atom_site_type_symbol
_atom_site_fract_x
_atom_site_fract_y
_atom_site_fract_z
_atom_site_occupancy
Re1 Re 0.500 0.500 0.000 1
Tl1 Tl 0.000 0.000 0.266 1
Tl2 Tl 0.000 0.000 0.734 1
Co1 Co 0.500 0.500 0.500 1
```


Entry 5:
An optimized crystal structure of TlCoRe2, computed with PBEsol.

Summary:
Offset from the most stable computed form (eV/atom): 0.000
Space group: P4mm (99)

```
data_TlCoRe2
_symmetry_space_group_name_H-M 'P 1'
_symmetry_Int_Tables_number 1
_cell_length_a 2.843
_cell_length_b 2.843
_cell_length_c 7.479
_cell_angle_alpha 90.00
_cell_angle_beta 90.00
_cell_angle_gamma 90.00
loop_
_symmetry_equiv_pos_as_xyz
'x,y,z'
loop_
_atom_site_label
_atom_site_type_symbol
_atom_site_fract_x
_atom_site_fract_y
_atom_site_fract_z
_atom_site_occupancy
Re1 Re 0.000 0.000 0.989 1
Re2 Re 0.500 0.500 0.218 1
Tl1 Tl 0.000 0.000 0.518 1
Co1 Co 0.500 0.500 0.775 1
```


Entry 6:
An optimized crystal structure of TlCoRe2, computed with PBEsol.

Summary:
Offset from the most stable computed form (eV/atom): 0.123
Space group: Immm (71)

```
data_TlCoRe2
_symmetry_space_group_name_H-M 'P 1'
_symmetry_Int_Tables_number 1
_cell_length_a 2.739
_cell_length_b 4.358
_cell_length_c 5.741
_cell_angle_alpha 112.30
_cell_angle_beta 103.80
_cell_angle_gamma 90.00
loop_
_symmetry_equiv_pos_as_xyz
'x,y,z'
loop_
_atom_site_label
_atom_site_type_symbol
_atom_site_fract_x
_atom_site_fract_y
_atom_site_fract_z
_atom_site_occupancy
Re1 Re 0.791 0.791 0.583 1
Re2 Re 0.209 0.209 0.417 1
Tl1 Tl 0.000 0.500 0.000 1
Co1 Co 0.500 0.000 0.000 1
```


Entry 7:
An optimized crystal structure of TlCoRe2, computed with PBEsol.

Summary:
Offset from the most stable computed form (eV/atom): 0.101
Space group: Pmm2 (25)

```
data_TlCoRe2
_symmetry_space_group_name_H-M 'P 1'
_symmetry_Int_Tables_number 1
_cell_length_a 2.831
_cell_length_b 3.790
_cell_length_c 5.733
_cell_angle_alpha 90.00
_cell_angle_beta 90.00
_cell_angle_gamma 90.00
loop_
_symmetry_equiv_pos_as_xyz
'x,y,z'
loop_
_atom_site_label
_atom_site_type_symbol
_atom_site_fract_x
_atom_site_fract_y
_atom_site_fract_z
_atom_site_occupancy
Re1 Re 0.000 0.000 0.006 1
Re2 Re 0.500 0.500 0.203 1
Tl1 Tl 0.000 0.000 0.518 1
Co1 Co 0.500 0.500 0.772 1
```


Entry 8:
An optimized crystal structure of Tl2CoRe, computed with PBEsol.

Summary:
Offset from the most stable computed form (eV/atom): 0.098
Space group: I-4m2 (119)

```
data_Tl2CoRe
_symmetry_space_group_name_H-M 'P 1'
_symmetry_Int_Tables_number 1
_cell_length_a 3.962
_cell_length_b 3.962
_cell_length_c 5.245
_cell_angle_alpha 112.19
_cell_angle_beta 112.19
_cell_angle_gamma 90.00
loop_
_symmetry_equiv_pos_as_xyz
'x,y,z'
loop_
_atom_site_label
_atom_site_type_symbol
_atom_site_fract_x
_atom_site_fract_y
_atom_site_fract_z
_atom_site_occupancy
Re1 Re 0.250 0.750 0.500 1
Tl1 Tl 0.000 0.000 0.000 1
Tl2 Tl 0.750 0.250 0.500 1
Co1 Co 0.500 0.500 0.000 1
```


Entry 9:
An optimized crystal structure of CoReW, computed with PBEsol.

Summary:
Space group: F-43m (216)

```
data_CoReW
_symmetry_space_group_name_H-M 'P 1'
_symmetry_Int_Tables_number 1
_cell_length_a 3.995
_cell_length_b 3.995
_cell_length_c 3.995
_cell_angle_alpha 60.00
_cell_angle_beta 60.00
_cell_angle_gamma 60.00
loop_
_symmetry_equiv_pos_as_xyz
'x,y,z'
loop_
_atom_site_label
_atom_site_type_symbol
_atom_site_fract_x
_atom_site_fract_y
_atom_site_fract_z
_atom_site_occupancy
Co1 Co 0.250 0.250 0.250 1
Re1 Re 0.000 0.000 0.000 1
W1 W 0.500 0.500 0.500 1
```


Entry 10:
An optimized crystal structure of Co2ReW, computed with PBEsol.

Summary:
Offset from the most stable computed form (eV/atom): 0.056
Space group: I4/mmm (139)

```
data_Co2ReW
_symmetry_space_group_name_H-M 'P 1'
_symmetry_Int_Tables_number 1
_cell_length_a 3.691
_cell_length_b 3.691
_cell_length_c 4.497
_cell_angle_alpha 114.23
_cell_angle_beta 114.23
_cell_angle_gamma 90.00
loop_
_symmetry_equiv_pos_as_xyz
'x,y,z'
loop_
_atom_site_label
_atom_site_type_symbol
_atom_site_fract_x
_atom_site_fract_y
_atom_site_fract_z
_atom_site_occupancy
Re1 Re 0.000 0.000 0.000 1
Co1 Co 0.750 0.250 0.500 1
Co2 Co 0.250 0.750 0.500 1
W1 W 0.500 0.500 0.000 1
```


Entry 11:
An optimized crystal structure of Co6ReW, computed with PBEsol.

Summary:
Space group: Cmmm (65)

```
data_Co6ReW
_symmetry_space_group_name_H-M 'P 1'
_symmetry_Int_Tables_number 1
_cell_length_a 6.129
_cell_length_b 6.129
_cell_length_c 10.007
_cell_angle_alpha 90.00
_cell_angle_beta 90.00
_cell_angle_gamma 109.46
loop_
_symmetry_equiv_pos_as_xyz
'x,y,z'
loop_
_atom_site_label
_atom_site_type_symbol
_atom_site_fract_x
_atom_site_fract_y
_atom_site_fract_z
_atom_site_occupancy
Co1 Co 0.248 0.752 0.748 1
Co2 Co 0.877 0.628 0.874 1
Co3 Co 0.123 0.372 0.874 1
Co4 Co 0.752 0.248 0.748 1
Co5 Co 0.372 0.123 0.874 1
Co6 Co 0.628 0.877 0.874 1
Co7 Co 0.500 0.500 0.500 1
Co8 Co 0.122 0.374 0.624 1
Co9 Co 0.374 0.122 0.624 1
Co10 Co 0.248 0.752 0.252 1
Co11 Co 0.878 0.626 0.376 1
Co12 Co 0.122 0.374 0.376 1
Co13 Co 0.752 0.248 0.252 1
Co14 Co 0.374 0.122 0.376 1
Co15 Co 0.626 0.878 0.376 1
Co16 Co 0.500 0.500 0.000 1
Co17 Co 0.123 0.372 0.126 1
Co18 Co 0.372 0.123 0.126 1
Co19 Co 0.000 0.000 0.500 1
Co20 Co 0.626 0.878 0.624 1
Co21 Co 0.878 0.626 0.624 1
Co22 Co 0.000 0.000 0.000 1
Co23 Co 0.628 0.877 0.126 1
Co24 Co 0.877 0.628 0.126 1
Re1 Re 0.252 0.748 0.500 1
Re2 Re 0.748 0.252 0.500 1
Re3 Re 0.000 0.000 0.751 1
Re4 Re 0.000 0.000 0.249 1
W1 W 0.252 0.748 0.000 1
W2 W 0.748 0.252 0.000 1
W3 W 0.500 0.500 0.751 1
W4 W 0.500 0.500 0.249 1
```


Entry 12:
An optimized crystal structure of Co2ReW, computed with PBEsol.

Summary:
Offset from the most stable computed form (eV/atom): 0.158
Space group: I-4m2 (119)

```
data_Co2ReW
_symmetry_space_group_name_H-M 'P 1'
_symmetry_Int_Tables_number 1
_cell_length_a 3.692
_cell_length_b 3.692
_cell_length_c 4.535
_cell_angle_alpha 114.02
_cell_angle_beta 114.02
_cell_angle_gamma 90.00
loop_
_symmetry_equiv_pos_as_xyz
'x,y,z'
loop_
_atom_site_label
_atom_site_type_symbol
_atom_site_fract_x
_atom_site_fract_y
_atom_site_fract_z
_atom_site_occupancy
Re1 Re 0.000 0.000 0.000 1
Co1 Co 0.500 0.500 0.000 1
Co2 Co 0.750 0.250 0.500 1
W1 W 0.250 0.750 0.500 1
```


Entry 13:
An optimized crystal structure of Co2ReW, computed with PBEsol.

Summary:
Offset from the most stable computed form (eV/atom): 0.000
Space group: Pmm2 (25)

```
data_Co2ReW
_symmetry_space_group_name_H-M 'P 1'
_symmetry_Int_Tables_number 1
_cell_length_a 2.617
_cell_length_b 4.191
_cell_length_c 4.523
_cell_angle_alpha 90.00
_cell_angle_beta 90.00
_cell_angle_gamma 90.00
loop_
_symmetry_equiv_pos_as_xyz
'x,y,z'
loop_
_atom_site_label
_atom_site_type_symbol
_atom_site_fract_x
_atom_site_fract_y
_atom_site_fract_z
_atom_site_occupancy
Re1 Re 0.500 0.000 0.558 1
Co1 Co 0.000 0.000 0.037 1
Co2 Co 0.000 0.500 0.707 1
W1 W 0.500 0.500 0.197 1
```


Entry 14:
An optimized crystal structure of YCoRe2, computed with PBEsol.

Summary:
Offset from the most stable computed form (eV/atom): 0.000
Space group: P2/m (10)

```
data_YCoRe2
_symmetry_space_group_name_H-M 'P 1'
_symmetry_Int_Tables_number 1
_cell_length_a 3.013
_cell_length_b 4.622
_cell_length_c 4.698
_cell_angle_alpha 90.00
_cell_angle_beta 90.00
_cell_angle_gamma 98.61
loop_
_symmetry_equiv_pos_as_xyz
'x,y,z'
loop_
_atom_site_label
_atom_site_type_symbol
_atom_site_fract_x
_atom_site_fract_y
_atom_site_fract_z
_atom_site_occupancy
Co1 Co 0.500 0.000 0.500 1
Re1 Re 0.326 0.231 0.000 1
Re2 Re 0.674 0.769 0.000 1
Y1 Y 0.000 0.500 0.500 1
```


Entry 15:
An optimized crystal structure of Y3CoRe, computed with PBEsol.

Summary:
Offset from the most stable computed form (eV/atom): 0.000
Space group: Pm-3m (221)

```
data_Y3CoRe
_symmetry_space_group_name_H-M 'P 1'
_symmetry_Int_Tables_number 1
_cell_length_a 4.902
_cell_length_b 4.902
_cell_length_c 4.902
_cell_angle_alpha 90.00
_cell_angle_beta 90.00
_cell_angle_gamma 90.00
loop_
_symmetry_equiv_pos_as_xyz
'x,y,z'
loop_
_atom_site_label
_atom_site_type_symbol
_atom_site_fract_x
_atom_site_fract_y
_atom_site_fract_z
_atom_site_occupancy
Y1 Y 0.000 0.500 0.000 1
Y2 Y 0.000 0.000 0.500 1
Y3 Y 0.500 0.000 0.000 1
Re1 Re 0.500 0.500 0.500 1
Co1 Co 0.000 0.000 0.000 1
```


Entry 16:
An optimized crystal structure of YCoRe2, computed with PBEsol.

Summary:
Offset from the most stable computed form (eV/atom): 0.025
Space group: Imm2 (44)

```
data_YCoRe2
_symmetry_space_group_name_H-M 'P 1'
_symmetry_Int_Tables_number 1
_cell_length_a 3.167
_cell_length_b 4.702
_cell_length_c 5.169
_cell_angle_alpha 117.06
_cell_angle_beta 107.84
_cell_angle_gamma 90.00
loop_
_symmetry_equiv_pos_as_xyz
'x,y,z'
loop_
_atom_site_label
_atom_site_type_symbol
_atom_site_fract_x
_atom_site_fract_y
_atom_site_fract_z
_atom_site_occupancy
Co1 Co 0.275 0.775 0.551 1
Re1 Re 0.996 0.996 0.992 1
Re2 Re 0.723 0.223 0.447 1
Y1 Y 0.505 0.505 0.011 1
```


Entry 17:
An optimized crystal structure of ZnCoRe2, computed with PBEsol.

Summary:
Space group: Pmm2 (25)

```
data_ZnCoRe2
_symmetry_space_group_name_H-M 'P 1'
_symmetry_Int_Tables_number 1
_cell_length_a 2.685
_cell_length_b 3.773
_cell_length_c 5.206
_cell_angle_alpha 90.00
_cell_angle_beta 90.00
_cell_angle_gamma 90.00
loop_
_symmetry_equiv_pos_as_xyz
'x,y,z'
loop_
_atom_site_label
_atom_site_type_symbol
_atom_site_fract_x
_atom_site_fract_y
_atom_site_fract_z
_atom_site_occupancy
Co1 Co 0.500 0.500 0.732 1
Re1 Re 0.000 0.000 0.004 1
Re2 Re 0.500 0.500 0.247 1
Zn1 Zn 0.000 0.000 0.517 1
```


Entry 18:
An optimized crystal structure of ZnCoRe2, computed with PBEsol.

Summary:
Space group: Pmmm (47)

```
data_ZnCoRe2
_symmetry_space_group_name_H-M 'P 1'
_symmetry_Int_Tables_number 1
_cell_length_a 3.126
_cell_length_b 4.070
_cell_length_c 4.168
_cell_angle_alpha 90.00
_cell_angle_beta 90.00
_cell_angle_gamma 90.00
loop_
_symmetry_equiv_pos_as_xyz
'x,y,z'
loop_
_atom_site_label
_atom_site_type_symbol
_atom_site_fract_x
_atom_site_fract_y
_atom_site_fract_z
_atom_site_occupancy
Co1 Co 0.000 0.500 0.500 1
Re1 Re 0.000 0.000 0.000 1
Re2 Re 0.500 0.500 0.000 1
Zn1 Zn 0.500 0.000 0.500 1
```


Entry 19:
An optimized crystal structure of ZnCoRe2, computed with PBEsol.

Summary:
Space group: I-4m2 (119)

```
data_ZnCoRe2
_symmetry_space_group_name_H-M 'P 1'
_symmetry_Int_Tables_number 1
_cell_length_a 3.750
_cell_length_b 3.750
_cell_length_c 4.562
_cell_angle_alpha 114.27
_cell_angle_beta 114.27
_cell_angle_gamma 90.00
loop_
_symmetry_equiv_pos_as_xyz
'x,y,z'
loop_
_atom_site_label
_atom_site_type_symbol
_atom_site_fract_x
_atom_site_fract_y
_atom_site_fract_z
_atom_site_occupancy
Co1 Co 0.250 0.750 0.500 1
Re1 Re 0.000 0.000 0.000 1
Re2 Re 0.750 0.250 0.500 1
Zn1 Zn 0.500 0.500 0.000 1
```


Entry 20:
An optimized crystal structure of ZrCoRe2, computed with PBEsol.

Summary:
Offset from the most stable computed form (eV/atom): 0.000
Space group: C2/m (12)

```
data_ZrCoRe2
_symmetry_space_group_name_H-M 'P 1'
_symmetry_Int_Tables_number 1
_cell_length_a 2.779
_cell_length_b 4.516
_cell_length_c 5.120
_cell_angle_alpha 104.64
_cell_angle_beta 105.75
_cell_angle_gamma 90.00
loop_
_symmetry_equiv_pos_as_xyz
'x,y,z'
loop_
_atom_site_label
_atom_site_type_symbol
_atom_site_fract_x
_atom_site_fract_y
_atom_site_fract_z
_atom_site_occupancy
Co1 Co 0.500 0.000 0.000 1
Re1 Re 0.219 0.221 0.439 1
Re2 Re 0.781 0.779 0.561 1
Zr1 Zr 0.000 0.500 0.000 1
```


In eV per atom, the total DFT energy (no corrections) values for the records above are, in order, -7.53; -7.62; -8.44; -5.63; -8.79; -8.66; -8.69; -5.53; -10.91; -10.66; -9.22; -10.56; -10.71; -9.90; -7.64; -9.87; -8.83; -8.73; -8.81; -10.84.